## YInNi (PBE)

Data for YInNi after structural relaxation.

The structure in POSCAR format:
```
YInNi
1.0
3.730 0.000 0.000
0.000 7.606 0.000
0.000 0.000 13.073
Y Ni In
6 6 6
Direct
0.000 0.223 0.955
0.000 0.777 0.045
0.000 0.223 0.545
0.000 0.777 0.455
0.000 0.148 0.250
0.000 0.852 0.750
0.500 0.057 0.091
0.500 0.943 0.909
0.500 0.057 0.409
0.500 0.943 0.591
0.000 0.551 0.250
0.000 0.449 0.750
0.500 0.427 0.120
0.500 0.573 0.880
0.500 0.427 0.380
0.500 0.573 0.620
0.500 0.806 0.250
0.500 0.194 0.750
```

Summary:
electronic total energy: -5.50 eV/atom
mass density: 7049 kg/m³
crystal system: orthorhombic